First-principles (PBE) data for crystalline Nd2DyTl3Te6 at its relaxed geometry, as listed in Alexandria via LeMat-Bulk.

The calculation puts the formation energy without anion corrections at -1.07 eV/atom.

The space group is C2/m (No. 12) and the conventional cell measures 7.8509, 13.5950 and 8.5887 Å, with angles of 90.00, 107.74 and 90.00 degrees. Symmetry generates all atoms from Nd at (0.0000, 0.1663, 0.0000), Dy at (0.0000, 0.5000, 0.0000), Tl at (0.0000, 0.0000, 0.5000), Tl at (0.0000, 0.3309, 0.5000), Te at (0.2352, 0.3371, 0.2173) and Te at (0.2476, 0.0000, 0.2194).